(1)
This record from Alexandria describes a relaxed structure of KMgBi2. The functional is GGA-PBE.

Cell: 4.9065 4.9065 21.6541 Å, 90.00 90.00 120.00°
Space group R3m (No. 160, hexagonal axes)
Inequivalent atoms, fractional coordinates:
K  0.0000  0.0000  0.0000 (multiplicity 3)
Mg  0.0000  0.0000  0.1787 (multiplicity 3)
Bi  0.0000  0.0000  0.5602 (multiplicity 3)
Bi  0.0000  0.0000  0.7889 (multiplicity 3)

Results
Its formation energy is -1.5 kcal/mol of atoms.

---

(2)
This record from Alexandria describes a relaxed structure of Cs2RbHgS2. The functional is GGA-PBE.

Cell: 7.5019 15.2405 5.1011 Å, 90.00 90.00 90.00°
Space group Pnnm (No. 58)
Inequivalent atoms, fractional coordinates:
Cs  0.0430  0.2067  0.0000 (multiplicity 4)
Rb  0.0000  0.5000  0.5000 (multiplicity 2)
Hg  0.0000  0.0000  0.5000 (multiplicity 2)
S  0.2382  0.6051  0.0000 (multiplicity 4)

---

(3)
This record from Alexandria describes a relaxed structure of Zr2SiBr. The functional is GGA-PBE.

Cell: 6.7783 6.7783 6.7783 Å, 90.00 90.00 90.00°
Space group Fm-3m (No. 225)
Inequivalent atoms, fractional coordinates:
Zr  0.2500  0.2500  0.2500 (multiplicity 8)
Si  0.0000  0.0000  0.0000 (multiplicity 4)
Br  0.0000  0.0000  0.5000 (multiplicity 4)

Results
As for the polymorph energy (0 for the lowest one): 234 meV per atom.

---

(4)
This record from Alexandria describes a relaxed structure of K2HBr. The functional is GGA-PBE.

Cell: 7.6327 7.6327 7.6327 Å, 90.00 90.00 90.00°
Space group Fm-3m (No. 225)
Inequivalent atoms, fractional coordinates:
K  0.2500  0.2500  0.2500 (multiplicity 8)
H  0.0000  0.0000  0.0000 (multiplicity 4)
Br  0.0000  0.0000  0.5000 (multiplicity 4)

Results
As for the polymorph energy (0 for the lowest one): 111 meV per atom.

---

(5)
This record from Alexandria describes a relaxed structure of CaZr2Be. The functional is GGA-PBE.

Cell: 7.0881 7.0881 7.0881 Å, 90.00 90.00 90.00°
Space group F-43m (No. 216)
Inequivalent atoms, fractional coordinates:
Ca  0.0000  0.0000  0.0000 (multiplicity 4)
Zr  0.0000  0.0000  0.5000 (multiplicity 4)
Zr  0.2500  0.2500  0.7500 (multiplicity 4)
Be  0.2500  0.2500  0.2500 (multiplicity 4)

Results
Its formation energy is 13.0 kcal/mol of atoms.

---

(6)
This record from Alexandria describes a relaxed structure of Nd8Ho4Er. The functional is GGA-PBE.

Cell: 7.2695 7.2695 29.0772 Å, 90.00 90.00 120.00°
Space group R-3m (No. 166, hexagonal axes)
Inequivalent atoms, fractional coordinates:
Nd  0.0000  0.0000  0.2120 (multiplicity 6)
Nd  0.0288  0.5144  0.7633 (multiplicity 18)
Ho  0.0000  0.0000  0.0000 (multiplicity 3)
Ho  0.0000  0.5000  0.0000 (multiplicity 9)
Er  0.0000  0.0000  0.5000 (multiplicity 3)

Results
Its formation energy is 4.5 kcal/mol of atoms.

---

(7)
This record from Alexandria describes a relaxed structure of La8BiIr4. The functional is GGA-PBE.

Cell: 14.3198 8.6526 10.2187 Å, 90.00 133.41 90.00°
Space group C2/m (No. 12)
Inequivalent atoms, fractional coordinates:
La  0.0641  0.2345  0.3348 (multiplicity 8)
La  0.1832  0.0000  0.1524 (multiplicity 4)
La  0.1870  0.5000  0.1695 (multiplicity 4)
Bi  0.0000  0.5000  0.5000 (multiplicity 2)
Ir  0.0000  0.2526  0.0000 (multiplicity 4)
Ir  0.2397  0.5000  0.4960 (multiplicity 4)

Results
Its formation energy is -15.1 kcal/mol of atoms.

---

(8)
This record from Alexandria describes a relaxed structure of SiNi2Hg. The functional is GGA-PBE.

Cell: 2.8564 2.8513 6.6665 Å, 90.00 90.15 90.00°
Space group P2/m (No. 10)
Inequivalent atoms, fractional coordinates:
Si  0.0000  0.0000  0.0000 (multiplicity 1)
Ni  0.4987  0.5000  0.8096 (multiplicity 2)
Hg  0.0000  0.0000  0.5000 (multiplicity 1)

Results
As for the polymorph energy (0 for the lowest one): 0 meV per atom.

---

(9)
This record from Alexandria describes a relaxed structure of Ca2TiPt. The functional is GGA-PBE.

Cell: 10.2489 10.2489 4.9398 Å, 90.00 90.00 90.00°
Space group I-42d (No. 122)
Inequivalent atoms, fractional coordinates:
Ca  0.1088  0.2500  0.1250 (multiplicity 8)
Ti  0.0000  0.0000  0.5000 (multiplicity 4)
Pt  0.0000  0.0000  0.0000 (multiplicity 4)

Results
Its formation energy is -0.9 kcal/mol of atoms. As for the polymorph energy (0 for the lowest one): 0 meV per atom.

---

(10)
This record from Alexandria describes a relaxed structure of Hf2ScInB. The functional is GGA-PBE.

Cell: 4.6197 4.6197 4.6265 Å, 90.00 90.00 90.00°
Space group P4/mmm (No. 123)
Inequivalent atoms, fractional coordinates:
Hf  0.0000  0.5000  0.0000 (multiplicity 2)
Sc  0.0000  0.0000  0.5000 (multiplicity 1)
In  0.5000  0.5000  0.5000 (multiplicity 1)
B  0.0000  0.0000  0.0000 (multiplicity 1)

Results
Its formation energy is -9.3 kcal/mol of atoms.

---

(11)
This record from Alexandria describes a relaxed structure of LiMgAu2. The functional is GGA-PBE.

Cell: 4.0339 4.0339 18.3964 Å, 90.00 90.00 90.00°
Space group I-42d (No. 122)
Inequivalent atoms, fractional coordinates:
Li  0.0000  0.0000  0.0000 (multiplicity 4)
Mg  0.0000  0.0000  0.5000 (multiplicity 4)
Au  0.2452  0.2500  0.1250 (multiplicity 8)

Results
Its formation energy is -5.6 kcal/mol of atoms.

---

(12)
This record from Alexandria describes a relaxed structure of Cr2InRe. The functional is GGA-PBE.

Cell: 2.9183 3.7293 5.6865 Å, 90.00 90.00 90.00°
Space group Pmmm (No. 47)
Inequivalent atoms, fractional coordinates:
Cr  0.0000  0.0000  0.1893 (multiplicity 2)
In  0.5000  0.5000  0.5000 (multiplicity 1)
Re  0.5000  0.5000  0.0000 (multiplicity 1)

Results
Its formation energy is 7.7 kcal/mol of atoms.

---

(13)
This record from Alexandria describes a relaxed structure of LiSbO3. The functional is GGA-PBE.

Cell: 2.7907 5.5752 5.7495 Å, 118.99 103.94 90.12°
Space group P1 (No. 1)
Inequivalent atoms, fractional coordinates:
Li  0.0000  0.0000  0.0000 (multiplicity 1)
Sb  0.1456  0.6473  0.2942 (multiplicity 1)
O  0.5659  0.3349  0.1365 (multiplicity 1)
O  0.5670  0.7999  0.1345 (multiplicity 1)
O  0.7969  0.8001  0.5977 (multiplicity 1)

---

(14)
This record from Alexandria describes a relaxed structure of BeZnAg. The functional is GGA-PBE.

Cell: 5.6599 5.6599 5.6599 Å, 90.00 90.00 90.00°
Space group F-43m (No. 216)
Inequivalent atoms, fractional coordinates:
Be  0.0000  0.0000  0.0000 (multiplicity 4)
Zn  0.2500  0.2500  0.2500 (multiplicity 4)
Ag  0.2500  0.2500  0.7500 (multiplicity 4)

Results
Its formation energy is 6.3 kcal/mol of atoms. As for the polymorph energy (0 for the lowest one): 222 meV per atom.

---

(15)
This record from Alexandria describes a relaxed structure of K2BiMoSe. The functional is GGA-PBE.

Cell: 6.1130 6.1130 4.8790 Å, 90.00 90.00 90.00°
Space group P4/mmm (No. 123)
Inequivalent atoms, fractional coordinates:
K  0.0000  0.5000  0.0000 (multiplicity 2)
Bi  0.0000  0.0000  0.5000 (multiplicity 1)
Mo  0.5000  0.5000  0.5000 (multiplicity 1)
Se  0.5000  0.5000  0.0000 (multiplicity 1)

---

(16)
This record from Alexandria describes a relaxed structure of Mg2CdCuAu. The functional is GGA-PBE.

Cell: 4.8423 4.8423 4.8645 Å, 90.00 90.00 90.00°
Space group P4/mmm (No. 123)
Inequivalent atoms, fractional coordinates:
Mg  0.0000  0.5000  0.0000 (multiplicity 2)
Cd  0.0000  0.0000  0.5000 (multiplicity 1)
Cu  0.0000  0.0000  0.0000 (multiplicity 1)
Au  0.5000  0.5000  0.5000 (multiplicity 1)

Results
Its formation energy is 3.9 kcal/mol of atoms.

---

(17)
This record from Alexandria describes a relaxed structure of CsNpTe4Au. The functional is GGA-PBE.

Cell: 7.7920 6.2551 10.7363 Å, 90.00 108.43 90.00°
Space group P2_1/m (No. 11)
Inequivalent atoms, fractional coordinates:
Cs  0.2123  0.2500  0.0541 (multiplicity 2)
Np  0.2742  0.2500  0.5542 (multiplicity 2)
Te  0.0236  0.5080  0.6886 (multiplicity 4)
Te  0.4236  0.7500  0.5858 (multiplicity 2)
Te  0.4835  0.7500  0.1631 (multiplicity 2)
Au  0.2763  0.7500  0.3173 (multiplicity 2)

---

(18)
This record from Alexandria describes a relaxed structure of PuThFeNi. The functional is GGA-PBE.

Cell: 6.8159 6.8159 6.8159 Å, 90.00 90.00 90.00°
Space group F-43m (No. 216)
Inequivalent atoms, fractional coordinates:
Pu  0.0000  0.0000  0.0000 (multiplicity 4)
Th  0.0000  0.0000  0.5000 (multiplicity 4)
Fe  0.2500  0.2500  0.2500 (multiplicity 4)
Ni  0.2500  0.2500  0.7500 (multiplicity 4)

Results
Its formation energy is 0.0 kcal/mol of atoms.

---

(19)
This record from Alexandria describes a relaxed structure of In2Sb2Te. The functional is GGA-PBE.

Cell: 9.8368 9.8368 3.1438 Å, 90.00 90.00 90.00°
Space group P4/mbm (No. 127)
Inequivalent atoms, fractional coordinates:
In  0.1866  0.3134  0.0000 (multiplicity 4)
Sb  0.1065  0.6065  0.5000 (multiplicity 4)
Te  0.0000  0.0000  0.0000 (multiplicity 2)

Results
As for the polymorph energy (0 for the lowest one): 95 meV per atom.

---

(20)
This record from Alexandria describes a relaxed structure of TbZn6Pt2. The functional is GGA-PBE.

Cell: 4.3409 5.7996 12.2098 Å, 90.00 90.00 90.00°
Space group Immm (No. 71)
Inequivalent atoms, fractional coordinates:
Tb  0.0000  0.0000  0.0000 (multiplicity 2)
Zn  0.0000  0.2018  0.5000 (multiplicity 4)
Zn  0.0000  0.2601  0.3019 (multiplicity 8)
Pt  0.0000  0.5000  0.1181 (multiplicity 4)

Results
Its formation energy is -8.2 kcal/mol of atoms.

---

(21)
This record from Alexandria describes a relaxed structure of Y3Ga4Pd2. The functional is GGA-PBE.

Cell: 10.5584 4.2969 8.4532 Å, 90.00 103.26 90.00°
Space group C2/m (No. 12)
Inequivalent atoms, fractional coordinates:
Y  0.0000  0.0000  0.0000 (multiplicity 2)
Y  0.1235  0.5000  0.3749 (multiplicity 4)
Ga  0.0804  0.0000  0.6508 (multiplicity 4)
Ga  0.2026  0.5000  0.0672 (multiplicity 4)
Pd  0.1948  0.5000  0.7568 (multiplicity 4)

Results
Its formation energy is -17.2 kcal/mol of atoms. As for the polymorph energy (0 for the lowest one): 78 meV per atom.

---

(22)
This record from Alexandria describes a relaxed structure of ZnMoIr. The functional is GGA-PBE.

Cell: 2.9334 4.5902 13.4997 Å, 90.00 90.00 90.00°
Space group Fmm2 (No. 42)
Inequivalent atoms, fractional coordinates:
Zn  0.0000  0.0000  0.0000 (multiplicity 4)
Mo  0.0000  0.0000  0.6711 (multiplicity 4)
Ir  0.0000  0.0000  0.3341 (multiplicity 4)

Results
Its formation energy is 1.9 kcal/mol of atoms. As for the polymorph energy (0 for the lowest one): 270 meV per atom.

---

(23)
This record from Alexandria describes a relaxed structure of ZrBe2Co5. The functional is GGA-PBE.

Cell: 3.3447 6.4445 8.4967 Å, 90.00 90.00 90.00°
Space group Immm (No. 71)
Inequivalent atoms, fractional coordinates:
Zr  0.0000  0.0000  0.0000 (multiplicity 2)
Be  0.0000  0.5000  0.2497 (multiplicity 4)
Co  0.0000  0.1903  0.3527 (multiplicity 8)
Co  0.0000  0.5000  0.0000 (multiplicity 2)

Results
Its formation energy is -2.8 kcal/mol of atoms.

---

(24)
This record from Alexandria describes a relaxed structure of CoIrRu2. The functional is GGA-PBE.

Cell: 2.7372 4.3408 9.1037 Å, 90.00 90.00 90.00°
Space group Immm (No. 71)
Inequivalent atoms, fractional coordinates:
Co  0.0000  0.0000  0.0000 (multiplicity 2)
Ir  0.0000  0.0000  0.5000 (multiplicity 2)
Ru  0.0000  0.5000  0.2783 (multiplicity 4)

Results
Its formation energy is 7.2 kcal/mol of atoms.

---

(25)
This record from Alexandria describes a relaxed structure of NpCu4Ir. The functional is GGA-PBE.

Cell: 7.0288 7.0288 7.0288 Å, 90.00 90.00 90.00°
Space group F-43m (No. 216)
Inequivalent atoms, fractional coordinates:
Np  0.0000  0.0000  0.0000 (multiplicity 4)
Cu  0.1242  0.1242  0.6242 (multiplicity 16)
Ir  0.2500  0.2500  0.2500 (multiplicity 4)

Results
Its formation energy is 0.6 kcal/mol of atoms.

---

(26)
This record from Alexandria describes a relaxed structure of Al4W. The functional is GGA-PBE.

Cell: 5.0179 5.0179 7.3434 Å, 90.00 90.00 90.00°
Space group I4/mmm (No. 139)
Inequivalent atoms, fractional coordinates:
Al  0.0000  0.0000  0.1606 (multiplicity 4)
Al  0.0000  0.5000  0.2500 (multiplicity 4)
W  0.0000  0.0000  0.5000 (multiplicity 2)

Results
Its formation energy is 18.8 kcal/mol of atoms. As for the polymorph energy (0 for the lowest one): 976 meV per atom.

---

no.,energy (eV/f.u.)
1,-10.71
2,-15.37
3,-25.83
4,-10.63
5,-20.56
6,-58.49
7,-87.25
8,-18.05
9,-18.09
10,-37.67
11,-11.03
12,-33.10
13,-28.07
14,-7.03
15,-19.02
16,-10.64
17,-33.33
18,-35.99
19,-16.19
20,-27.54
21,-48.60
22,-20.72
23,-52.50
24,-33.27
25,-38.04
26,-23.84